No. 1
# TcBAu2, optimized geometry, DFT PBE
# Total energy ... -19.72 eV/f.u.
data_TcBAu2
_chemical_formula_sum 'Tc4 B4 Au8'
_cell_length_a 6.179
_cell_length_b 6.179
_cell_length_c 6.179
_cell_angle_alpha 90.00
_cell_angle_beta 90.00
_cell_angle_gamma 90.00
_symmetry_space_group_name_H-M 'F -4 3 m'
_symmetry_Int_Tables_number 216
_symmetry_space_group_name_Hall 'F -4 2 3'
loop_
_atom_site_label
_atom_site_type_symbol
_atom_site_fract_x
_atom_site_fract_y
_atom_site_fract_z
Tc1 Tc 0.000 0.000 0.000
B1 B 0.250 0.250 0.750
Au1 Au 0.000 0.000 0.500
Au2 Au 0.250 0.250 0.250

***

No. 2
# TbYNb2Ge2, optimized geometry, DFT PBE
# Total energy ... -44.43 eV/f.u.
data_TbYNb2Ge2
_chemical_formula_sum 'Tb1 Y1 Nb2 Ge2'
_cell_length_a 4.035
_cell_length_b 4.035
_cell_length_c 7.885
_cell_angle_alpha 90.00
_cell_angle_beta 90.00
_cell_angle_gamma 90.00
_symmetry_space_group_name_H-M 'P 4 m m'
_symmetry_Int_Tables_number 99
_symmetry_space_group_name_Hall 'P 4 -2'
loop_
_atom_site_label
_atom_site_type_symbol
_atom_site_fract_x
_atom_site_fract_y
_atom_site_fract_z
Tb1 Tb 0.000 0.000 0.000
Y1 Y 0.500 0.500 0.705
Nb1 Nb 0.000 0.500 0.352
Ge1 Ge 0.000 0.000 0.597
Ge2 Ge 0.500 0.500 0.108

***

No. 3
# NbFeGeIr, optimized geometry, DFT PBE
# Energy above the lowest structure with this stoichiometry ... 0 meV per atom
data_NbFeGeIr
_chemical_formula_sum 'Nb4 Fe4 Ge4 Ir4'
_cell_length_a 6.179
_cell_length_b 6.179
_cell_length_c 6.179
_cell_angle_alpha 90.00
_cell_angle_beta 90.00
_cell_angle_gamma 90.00
_symmetry_space_group_name_H-M 'F -4 3 m'
_symmetry_Int_Tables_number 216
_symmetry_space_group_name_Hall 'F -4 2 3'
loop_
_atom_site_label
_atom_site_type_symbol
_atom_site_fract_x
_atom_site_fract_y
_atom_site_fract_z
Nb1 Nb 0.000 0.000 0.000
Fe1 Fe 0.250 0.250 0.750
Ge1 Ge 0.000 0.000 0.500
Ir1 Ir 0.250 0.250 0.250

***

No. 4
# Dy2HoTm2Lu2Ni2Te2, optimized geometry, DFT PBE
# Total energy ... -56.75 eV/f.u.
data_Dy2HoTm2Lu2Ni2Te2
_chemical_formula_sum 'Dy4 Ho2 Tm4 Lu4 Ni4 Te4'
_cell_length_a 3.832
_cell_length_b 15.425
_cell_length_c 9.477
_cell_angle_alpha 90.00
_cell_angle_beta 90.00
_cell_angle_gamma 90.00
_symmetry_space_group_name_H-M 'I m m 2'
_symmetry_Int_Tables_number 44
_symmetry_space_group_name_Hall 'I 2 -2'
loop_
_atom_site_label
_atom_site_type_symbol
_atom_site_fract_x
_atom_site_fract_y
_atom_site_fract_z
Dy1 Dy 0.000 0.147 0.000
Ho1 Ho 0.000 0.500 0.270
Tm1 Tm 0.000 0.365 0.853
Lu1 Lu 0.000 0.185 0.647
Ni1 Ni 0.000 0.263 0.339
Te1 Te 0.000 0.000 0.504
Te2 Te 0.000 0.500 0.610

***

No. 5
# Sm5Bi4Te, optimized geometry, DFT PBE
# Total energy ... -53.45 eV/f.u.
data_Sm5Bi4Te
_chemical_formula_sum 'Sm10 Bi8 Te2'
_cell_length_a 10.122
_cell_length_b 10.122
_cell_length_c 6.401
_cell_angle_alpha 90.00
_cell_angle_beta 90.00
_cell_angle_gamma 90.00
_symmetry_space_group_name_H-M 'I 4/m'
_symmetry_Int_Tables_number 87
_symmetry_space_group_name_Hall '-I 4'
loop_
_atom_site_label
_atom_site_type_symbol
_atom_site_fract_x
_atom_site_fract_y
_atom_site_fract_z
Sm1 Sm 0.000 0.000 0.000
Sm2 Sm 0.101 0.699 0.500
Bi1 Bi 0.100 0.701 0.000
Te1 Te 0.000 0.000 0.500

***

No. 6
# BaMg2HgPb, optimized geometry, DFT PBE
# Total energy ... -10.96 eV/f.u.
data_BaMg2HgPb
_chemical_formula_sum 'Ba2 Mg4 Hg2 Pb2'
_cell_length_a 4.796
_cell_length_b 4.796
_cell_length_c 12.860
_cell_angle_alpha 90.00
_cell_angle_beta 90.00
_cell_angle_gamma 90.00
_symmetry_space_group_name_H-M 'I 4 m m'
_symmetry_Int_Tables_number 107
_symmetry_space_group_name_Hall 'I 4 -2'
loop_
_atom_site_label
_atom_site_type_symbol
_atom_site_fract_x
_atom_site_fract_y
_atom_site_fract_z
Ba1 Ba 0.000 0.000 0.000
Mg1 Mg 0.000 0.500 0.253
Hg1 Hg 0.000 0.000 0.377
Pb1 Pb 0.000 0.000 0.614

***

No. 7
# InCuTeMoS2, optimized geometry, DFT PBE
# Total energy ... -29.94 eV/f.u.
data_InCuTeMoS2
_chemical_formula_sum 'In4 Cu4 Te4 Mo4 S8'
_cell_length_a 3.399
_cell_length_b 15.694
_cell_length_c 9.970
_cell_angle_alpha 90.00
_cell_angle_beta 90.00
_cell_angle_gamma 90.00
_symmetry_space_group_name_H-M 'C m c m'
_symmetry_Int_Tables_number 63
_symmetry_space_group_name_Hall '-C 2c 2'
loop_
_atom_site_label
_atom_site_type_symbol
_atom_site_fract_x
_atom_site_fract_y
_atom_site_fract_z
In1 In 0.000 0.220 0.250
Cu1 Cu 0.000 0.455 0.750
Te1 Te 0.000 0.086 0.750
Mo1 Mo 0.000 0.000 0.000
S1 S 0.000 0.390 0.549

***

No. 8
# LiErRe, optimized geometry, DFT PBE
# Energy above the lowest structure with this stoichiometry ... 401 meV per atom
data_LiErRe
_chemical_formula_sum 'Li4 Er4 Re4'
_cell_length_a 6.481
_cell_length_b 6.481
_cell_length_c 6.481
_cell_angle_alpha 90.00
_cell_angle_beta 90.00
_cell_angle_gamma 90.00
_symmetry_space_group_name_H-M 'F -4 3 m'
_symmetry_Int_Tables_number 216
_symmetry_space_group_name_Hall 'F -4 2 3'
loop_
_atom_site_label
_atom_site_type_symbol
_atom_site_fract_x
_atom_site_fract_y
_atom_site_fract_z
Li1 Li 0.000 0.000 0.000
Er1 Er 0.250 0.250 0.250
Re1 Re 0.000 0.000 0.500

***

No. 9
# HfInCu3Te4, optimized geometry, DFT PBE
# Energy above the lowest structure with this stoichiometry ... 99 meV per atom
data_HfInCu3Te4
_chemical_formula_sum 'Hf1 In1 Cu3 Te4'
_cell_length_a 6.555
_cell_length_b 6.555
_cell_length_c 6.555
_cell_angle_alpha 90.00
_cell_angle_beta 90.00
_cell_angle_gamma 90.00
_symmetry_space_group_name_H-M 'P -4 3 m'
_symmetry_Int_Tables_number 215
_symmetry_space_group_name_Hall 'P -4 2 3'
loop_
_atom_site_label
_atom_site_type_symbol
_atom_site_fract_x
_atom_site_fract_y
_atom_site_fract_z
Hf1 Hf 0.000 0.000 0.000
In1 In 0.500 0.500 0.500
Cu1 Cu 0.000 0.000 0.500
Te1 Te 0.236 0.236 0.764

***

No. 10
# Y2Al4IrPd, optimized geometry, DFT PBE
# Total energy ... -48.57 eV/f.u.
data_Y2Al4IrPd
_chemical_formula_sum 'Y4 Al8 Ir2 Pd2'
_cell_length_a 7.047
_cell_length_b 4.224
_cell_length_c 10.287
_cell_angle_alpha 90.00
_cell_angle_beta 90.00
_cell_angle_gamma 90.00
_symmetry_space_group_name_H-M 'A m m 2'
_symmetry_Int_Tables_number 38
_symmetry_space_group_name_Hall 'A 2 -2'
loop_
_atom_site_label
_atom_site_type_symbol
_atom_site_fract_x
_atom_site_fract_y
_atom_site_fract_z
Y1 Y 0.000 0.000 0.000
Y2 Y 0.500 0.000 0.136
Al1 Al 0.197 0.000 0.716
Al2 Al 0.306 0.000 0.419
Ir1 Ir 0.500 0.000 0.854
Pd1 Pd 0.000 0.000 0.281

***

No. 11
# CsHfPO, optimized geometry, DFT PBE
# Energy above the lowest structure with this stoichiometry ... 165 meV per atom
data_CsHfPO
_chemical_formula_sum 'Cs2 Hf2 P2 O2'
_cell_length_a 3.630
_cell_length_b 7.943
_cell_length_c 7.719
_cell_angle_alpha 90.00
_cell_angle_beta 90.00
_cell_angle_gamma 90.00
_symmetry_space_group_name_H-M 'P m c 21'
_symmetry_Int_Tables_number 26
_symmetry_space_group_name_Hall 'P 2c -2'
loop_
_atom_site_label
_atom_site_type_symbol
_atom_site_fract_x
_atom_site_fract_y
_atom_site_fract_z
Cs1 Cs 0.000 0.208 0.000
Hf1 Hf 0.500 0.313 0.484
P1 P 0.500 0.491 0.741
O1 O 0.000 0.197 0.476

***

No. 12
# GaTcNiHg, optimized geometry, DFT PBE
# Energy above the lowest structure with this stoichiometry ... 0 meV per atom
data_GaTcNiHg
_chemical_formula_sum 'Ga4 Tc4 Ni4 Hg4'
_cell_length_a 6.255
_cell_length_b 6.255
_cell_length_c 6.255
_cell_angle_alpha 90.00
_cell_angle_beta 90.00
_cell_angle_gamma 90.00
_symmetry_space_group_name_H-M 'F -4 3 m'
_symmetry_Int_Tables_number 216
_symmetry_space_group_name_Hall 'F -4 2 3'
loop_
_atom_site_label
_atom_site_type_symbol
_atom_site_fract_x
_atom_site_fract_y
_atom_site_fract_z
Ga1 Ga 0.000 0.000 0.000
Tc1 Tc 0.250 0.250 0.750
Ni1 Ni 0.250 0.250 0.250
Hg1 Hg 0.000 0.000 0.500

***

No. 13
# Na2FeNiAs2, optimized geometry, DFT PBE
# Total energy ... -27.84 eV/f.u.
data_Na2FeNiAs2
_chemical_formula_sum 'Na2 Fe1 Ni1 As2'
_cell_length_a 4.002
_cell_length_b 4.002
_cell_length_c 6.674
_cell_angle_alpha 90.00
_cell_angle_beta 90.00
_cell_angle_gamma 90.00
_symmetry_space_group_name_H-M 'P -4 m 2'
_symmetry_Int_Tables_number 115
_symmetry_space_group_name_Hall 'P -4 -2'
loop_
_atom_site_label
_atom_site_type_symbol
_atom_site_fract_x
_atom_site_fract_y
_atom_site_fract_z
Na1 Na 0.000 0.500 0.155
Fe1 Fe 0.000 0.000 0.500
Ni1 Ni 0.500 0.500 0.500
As1 As 0.000 0.500 0.693

***

No. 14
# KTmGeS3, optimized geometry, DFT PBE
# Energy above the lowest structure with this stoichiometry ... 0 meV per atom
data_KTmGeS3
_chemical_formula_sum 'K4 Tm4 Ge4 S12'
_cell_length_a 14.817
_cell_length_b 3.871
_cell_length_c 11.237
_cell_angle_alpha 90.00
_cell_angle_beta 90.00
_cell_angle_gamma 90.00
_symmetry_space_group_name_H-M 'P n m a'
_symmetry_Int_Tables_number 62
_symmetry_space_group_name_Hall '-P 2ac 2n'
loop_
_atom_site_label
_atom_site_type_symbol
_atom_site_fract_x
_atom_site_fract_y
_atom_site_fract_z
K1 K 0.231 0.250 0.090
Tm1 Tm 0.006 0.750 0.648
Ge1 Ge 0.039 0.250 0.913
S1 S 0.081 0.750 0.224
S2 S 0.102 0.250 0.541
S3 S 0.127 0.750 0.832

***

No. 15
# Dy3Er2Lu2Ni2Te2, optimized geometry, DFT PBE
# Energy above the lowest structure with this stoichiometry ... 0 meV per atom
data_Dy3Er2Lu2Ni2Te2
_chemical_formula_sum 'Dy6 Er4 Lu4 Ni4 Te4'
_cell_length_a 3.840
_cell_length_b 15.452
_cell_length_c 9.492
_cell_angle_alpha 90.00
_cell_angle_beta 90.00
_cell_angle_gamma 90.00
_symmetry_space_group_name_H-M 'I m m 2'
_symmetry_Int_Tables_number 44
_symmetry_space_group_name_Hall 'I 2 -2'
loop_
_atom_site_label
_atom_site_type_symbol
_atom_site_fract_x
_atom_site_fract_y
_atom_site_fract_z
Dy1 Dy 0.000 0.000 0.000
Dy2 Dy 0.000 0.353 0.730
Er1 Er 0.000 0.135 0.582
Lu1 Lu 0.000 0.315 0.377
Ni1 Ni 0.000 0.236 0.069
Te1 Te 0.000 0.000 0.339
Te2 Te 0.000 0.500 0.233

***

No. 16
# TmScS2Cl2, optimized geometry, DFT PBE
# Total energy ... -35.27 eV/f.u.
data_TmScS2Cl2
_chemical_formula_sum 'Tm1 Sc1 S2 Cl2'
_cell_length_a 3.802
_cell_length_b 5.206
_cell_length_c 8.148
_cell_angle_alpha 90.00
_cell_angle_beta 90.00
_cell_angle_gamma 90.00
_symmetry_space_group_name_H-M 'P m m 2'
_symmetry_Int_Tables_number 25
_symmetry_space_group_name_Hall 'P 2 -2'
loop_
_atom_site_label
_atom_site_type_symbol
_atom_site_fract_x
_atom_site_fract_y
_atom_site_fract_z
Tm1 Tm 0.000 0.000 0.000
Sc1 Sc 0.500 0.500 0.269
S1 S 0.000 0.500 0.052
S2 S 0.500 0.000 0.234
Cl1 Cl 0.000 0.500 0.474
Cl2 Cl 0.500 0.000 0.780

***

No. 17
# NdBeTc, optimized geometry, DFT PBE
# Total energy ... -17.28 eV/f.u.
data_NdBeTc
_chemical_formula_sum 'Nd4 Be4 Tc4'
_cell_length_a 6.129
_cell_length_b 6.129
_cell_length_c 6.129
_cell_angle_alpha 90.00
_cell_angle_beta 90.00
_cell_angle_gamma 90.00
_symmetry_space_group_name_H-M 'F -4 3 m'
_symmetry_Int_Tables_number 216
_symmetry_space_group_name_Hall 'F -4 2 3'
loop_
_atom_site_label
_atom_site_type_symbol
_atom_site_fract_x
_atom_site_fract_y
_atom_site_fract_z
Nd1 Nd 0.000 0.000 0.000
Be1 Be 0.250 0.250 0.250
Tc1 Tc 0.000 0.000 0.500

***

No. 18
# LiTmGe, optimized geometry, DFT PBE
# Total energy ... -13.07 eV/f.u.
data_LiTmGe
_chemical_formula_sum 'Li4 Tm4 Ge4'
_cell_length_a 7.007
_cell_length_b 4.265
_cell_length_c 7.731
_cell_angle_alpha 90.00
_cell_angle_beta 90.00
_cell_angle_gamma 90.00
_symmetry_space_group_name_H-M 'P n m a'
_symmetry_Int_Tables_number 62
_symmetry_space_group_name_Hall '-P 2ac 2n'
loop_
_atom_site_label
_atom_site_type_symbol
_atom_site_fract_x
_atom_site_fract_y
_atom_site_fract_z
Li1 Li 0.160 0.250 0.071
Tm1 Tm 0.012 0.250 0.705
Ge1 Ge 0.236 0.750 0.900

***

No. 19
# Tm4Ga12Co, optimized geometry, DFT PBE
# Total energy ... -70.36 eV/f.u.
data_Tm4Ga12Co
_chemical_formula_sum 'Tm8 Ga24 Co2'
_cell_length_a 8.497
_cell_length_b 8.497
_cell_length_c 8.497
_cell_angle_alpha 90.00
_cell_angle_beta 90.00
_cell_angle_gamma 90.00
_symmetry_space_group_name_H-M 'I m -3 m'
_symmetry_Int_Tables_number 229
_symmetry_space_group_name_Hall '-I 4 2 3'
loop_
_atom_site_label
_atom_site_type_symbol
_atom_site_fract_x
_atom_site_fract_y
_atom_site_fract_z
Tm1 Tm 0.250 0.250 0.250
Ga1 Ga 0.000 0.000 0.283
Ga2 Ga 0.000 0.250 0.500
Co1 Co 0.000 0.000 0.000

***

No. 20
# HfCdCuBi, optimized geometry, DFT PBE
# Energy above the lowest structure with this stoichiometry ... 0 meV per atom
data_HfCdCuBi
_chemical_formula_sum 'Hf4 Cd4 Cu4 Bi4'
_cell_length_a 6.998
_cell_length_b 6.998
_cell_length_c 6.998
_cell_angle_alpha 90.00
_cell_angle_beta 90.00
_cell_angle_gamma 90.00
_symmetry_space_group_name_H-M 'F -4 3 m'
_symmetry_Int_Tables_number 216
_symmetry_space_group_name_Hall 'F -4 2 3'
loop_
_atom_site_label
_atom_site_type_symbol
_atom_site_fract_x
_atom_site_fract_y
_atom_site_fract_z
Hf1 Hf 0.000 0.000 0.000
Cd1 Cd 0.250 0.250 0.750
Cu1 Cu 0.000 0.000 0.500
Bi1 Bi 0.250 0.250 0.250